First-principles (GGA-PBE) data for crystalline SrZnAgAu3 at its relaxed geometry, as listed in Alexandria via LeMat-Bulk.

Lattice parameters (Å, degrees): 7.1875 7.1875 6.2814 90.00 90.00 119.73
Closest atoms and distances in Å follow each position.
Fractional positions:
Sr  0.2014  0.7986  0.7500  1 Ag 3.06, 2 Zn 3.29, 4 Au 3.30
Sr  0.7986  0.2014  0.2500  1 Ag 3.06, 2 Zn 3.29, 4 Au 3.30
Zn  0.1230  0.8770  0.2500  5 Au 2.53-2.63
Zn  0.8770  0.1230  0.7500  5 Au 2.53-2.63
Ag  0.4475  0.5525  0.7500  5 Au 2.74-2.81, 1 Sr 3.06
Ag  0.5525  0.4475  0.2500  5 Au 2.74-2.81, 1 Sr 3.06
Au  0.2022  0.2022  0.0000  2 Zn 2.63, 2 Ag 2.74, 1 Au 2.92
Au  0.2022  0.2022  0.5000  2 Zn 2.63, 2 Ag 2.74, 1 Au 2.92
Au  0.3264  0.6736  0.2500  1 Zn 2.53, 1 Ag 2.81
Au  0.6736  0.3264  0.7500  1 Zn 2.53, 1 Ag 2.81
Au  0.7978  0.7978  0.0000  2 Zn 2.63, 2 Ag 2.74, 1 Au 2.92
Au  0.7978  0.7978  0.5000  2 Zn 2.63, 2 Ag 2.74, 1 Au 2.92

Results
symmetry: Cmcm, No. 63
density: 10.0 Mg/m³
energy relative to the elements: -0.267 eV/atom
total magnetization: 0.0 μB per cell
DOS(E_F): 0.37 states/eV/atom